1.
RbGaNO2: relaxed, PBE-GGA.

Structure (POSCAR):
```
RbGaNO2
1.0
4.062 0.000 0.000
0.000 4.062 0.000
0.000 0.000 4.253
Rb Ga N O
1 1 1 2
direct
0.000 0.000 0.000 Rb
0.500 0.500 0.500 Ga
0.500 0.500 0.000 N
0.000 0.500 0.500 O
0.500 0.000 0.500 O
```

Computed properties:
formation energy without anion corrections	-199	meV/atom
crystal system	tetragonal
D(E_F)	2.31	states/eV per cell

---

2.
NdYMg4: relaxed, PBE-GGA.

Structure (POSCAR):
```
NdYMg4
1.0
0.000 4.304 4.304
4.304 0.000 4.304
4.304 4.304 0.000
Nd Y Mg
1 1 4
direct
0.000 0.000 0.000 Nd
0.250 0.250 0.250 Y
0.125 0.625 0.625 Mg
0.625 0.125 0.625 Mg
0.625 0.625 0.125 Mg
0.625 0.625 0.625 Mg
```

Computed properties:
energy of formation	-98	meV/atom
crystal system	cubic
D(E_F)	6.14	states/eV per cell

---

3.
Ta2TiHW: relaxed, PBE-GGA.

Structure (POSCAR):
```
Ta2TiHW
1.0
4.501 0.000 0.000
0.000 4.501 0.000
0.000 0.000 3.491
Ta Ti H W
2 1 1 1
direct
0.000 0.500 0.000 Ta
0.500 0.000 0.000 Ta
0.000 0.000 0.500 Ti
0.000 0.000 0.000 H
0.500 0.500 0.500 W
```

Computed properties:
crystal system	tetragonal
D(E_F)	4.78	states/eV per cell

---

4.
TaCu2Hg: relaxed, PBE-GGA.

Structure (POSCAR):
```
TaCu2Hg
1.0
-3.533 3.533 2.805
3.533 -3.533 2.805
3.533 3.533 -2.805
Ta Cu Hg
2 4 2
direct
0.000 0.000 0.000 Ta
0.750 0.250 0.500 Ta
0.118 0.625 0.993 Cu
0.375 0.368 0.493 Cu
0.632 0.125 0.007 Cu
0.875 0.882 0.507 Cu
0.250 0.750 0.500 Hg
0.500 0.500 0.000 Hg
```

Computed properties:
energy of formation	697	meV/atom
crystal system	tetragonal
D(E_F)	9.45	states/eV per cell

---

5.
Ba2LiP3Pd12: relaxed, PBE-GGA.

Structure (POSCAR):
```
Ba2LiP3Pd12
1.0
4.357 2.516 5.618
-4.357 2.516 5.618
0.000 -5.031 5.618
Ba Li P Pd
2 1 3 12
direct
0.115 0.115 0.115 Ba
0.885 0.885 0.885 Ba
0.500 0.500 0.500 Li
0.000 0.500 0.500 P
0.500 0.000 0.500 P
0.500 0.500 0.000 P
0.144 0.626 0.626 Pd
0.216 0.216 0.623 Pd
0.216 0.623 0.216 Pd
0.374 0.374 0.856 Pd
0.374 0.856 0.374 Pd
0.377 0.784 0.784 Pd
0.623 0.216 0.216 Pd
0.626 0.144 0.626 Pd
0.626 0.626 0.144 Pd
0.784 0.377 0.784 Pd
0.784 0.784 0.377 Pd
0.856 0.374 0.374 Pd
```

Computed properties:
energy of formation	-382	meV/atom
crystal system	trigonal
D(E_F)	7.64	states/eV per cell

---

6.
Zn2Sn2Ge: relaxed, PBE-GGA.

Structure (POSCAR):
```
Zn2Sn2Ge
1.0
-1.863 1.863 8.017
1.863 -1.863 8.017
1.863 1.863 -8.017
Zn Sn Ge
2 2 1
direct
0.250 0.750 0.500 Zn
0.750 0.250 0.500 Zn
0.102 0.102 0.000 Sn
0.898 0.898 0.000 Sn
0.500 0.500 0.000 Ge
```

Computed properties:
energy of formation	188	meV/atom
crystal system	tetragonal
D(E_F)	2.54	states/eV per cell

---

7.
HgPd: relaxed, PBE-GGA.

Structure (POSCAR):
```
HgPd
1.0
5.310 0.000 0.000
0.000 5.310 0.000
0.000 0.000 5.310
Hg Pd
4 4
direct
0.156 0.156 0.156 Hg
0.344 0.844 0.656 Hg
0.656 0.344 0.844 Hg
0.844 0.656 0.344 Hg
0.153 0.347 0.653 Pd
0.347 0.653 0.153 Pd
0.653 0.153 0.347 Pd
0.847 0.847 0.847 Pd
```

Computed properties:
energy of formation	-88	meV/atom
crystal system	cubic
D(E_F)	3.95	states/eV per cell

---

8.
Pr6GePt2Cl3: relaxed, PBE-GGA.

Structure (POSCAR):
```
Pr6GePt2Cl3
1.0
3.715 -6.398 0.000
3.715 6.398 0.000
-2.485 0.000 7.143
Pr Ge Pt Cl
6 1 2 3
direct
0.082 0.423 0.776 Pr
0.232 0.232 0.220 Pr
0.423 0.082 0.776 Pr
0.577 0.918 0.224 Pr
0.768 0.768 0.780 Pr
0.918 0.577 0.224 Pr
0.500 0.500 0.000 Ge
0.168 0.832 0.000 Pt
0.832 0.168 0.000 Pt
0.000 0.000 0.500 Cl
0.345 0.655 0.500 Cl
0.655 0.345 0.500 Cl
```

Computed properties:
formation energy without anion corrections	-1266	meV/atom
crystal system	monoclinic
D(E_F)	9.48	states/eV per cell

---

9.
La3Pr2Tm2: relaxed, PBE-GGA.

Structure (POSCAR):
```
La3Pr2Tm2
1.0
8.986 -1.781 0.000
8.986 1.781 0.000
-4.190 0.000 7.626
La Pr Tm
3 2 2
direct
0.000 0.000 0.000 La
0.214 0.214 0.290 La
0.786 0.786 0.710 La
0.435 0.435 0.587 Pr
0.565 0.565 0.413 Pr
0.146 0.146 0.832 Tm
0.854 0.854 0.168 Tm
```

Computed properties:
energy of formation	116	meV/atom
crystal system	monoclinic
D(E_F)	11.53	states/eV per cell

---

10.
Co3Os: relaxed, PBE-GGA.

Structure (POSCAR):
```
Co3Os
1.0
-1.779 1.779 7.203
1.779 -1.779 7.203
1.779 1.779 -7.203
Co Os
6 2
direct
0.000 0.500 0.500 Co
0.121 0.121 0.000 Co
0.250 0.750 0.500 Co
0.500 0.000 0.500 Co
0.750 0.250 0.500 Co
0.879 0.879 0.000 Co
0.372 0.372 0.000 Os
0.628 0.628 0.000 Os
```

Computed properties:
energy of formation	149	meV/atom
crystal system	tetragonal
D(E_F)	10.73	states/eV per cell

---

11.
EuPaSi2: relaxed, PBE-GGA.

Structure (POSCAR):
```
EuPaSi2
1.0
2.129 1.229 6.725
-2.129 1.229 6.725
0.000 -2.458 6.725
Eu Pa Si
1 1 2
direct
0.000 0.000 0.000 Eu
0.500 0.500 0.500 Pa
0.239 0.239 0.239 Si
0.761 0.761 0.761 Si
```

Computed properties:
formation energy without anion corrections	-237	meV/atom
crystal system	trigonal
D(E_F)	14.40	states/eV per cell

---

12.
Re2HgTe: relaxed, PBE-GGA.

Structure (POSCAR):
```
Re2HgTe
1.0
3.017 0.000 0.000
0.000 3.026 0.000
-0.008 0.000 9.252
Re Hg Te
2 1 1
direct
0.000 0.000 0.000 Re
0.500 0.500 0.157 Re
0.497 0.500 0.766 Hg
0.503 0.000 0.414 Te
```

Computed properties:
formation energy without anion corrections	366	meV/atom
crystal system	monoclinic
D(E_F)	3.01	states/eV per cell

---

13.
Tb5PmRh4: relaxed, PBE-GGA.

Structure (POSCAR):
```
Tb5PmRh4
1.0
9.054 -2.131 0.000
9.054 2.131 0.000
-3.011 0.000 6.749
Tb Pm Rh
5 1 4
direct
0.000 0.000 0.000 Tb
0.335 0.335 0.091 Tb
0.335 0.335 0.579 Tb
0.665 0.665 0.421 Tb
0.665 0.665 0.909 Tb
0.000 0.000 0.500 Pm
0.200 0.200 0.700 Rh
0.500 0.500 0.235 Rh
0.500 0.500 0.765 Rh
0.800 0.800 0.300 Rh
```

Computed properties:
energy of formation	-630	meV/atom
crystal system	monoclinic
D(E_F)	4.71	states/eV per cell

---

14.
CrAuBr2: relaxed, PBE-GGA.

Structure (POSCAR):
```
CrAuBr2
1.0
1.721 -3.071 0.000
1.721 3.071 0.000
0.000 0.000 10.498
Cr Au Br
1 1 2
direct
0.000 0.000 0.000 Cr
0.000 0.000 0.500 Au
0.500 0.500 0.170 Br
0.500 0.500 0.830 Br
```

Computed properties:
formation energy without anion corrections	44	meV/atom
crystal system	orthorhombic
D(E_F)	1.76	states/eV per cell

---

15.
K2AgHg2: relaxed, PBE-GGA.

Structure (POSCAR):
```
K2AgHg2
1.0
-2.182 2.182 9.772
2.182 -2.182 9.772
2.182 2.182 -9.772
K Ag Hg
2 1 2
direct
0.101 0.101 0.000 K
0.899 0.899 0.000 K
0.500 0.500 0.000 Ag
0.250 0.750 0.500 Hg
0.750 0.250 0.500 Hg
```

Computed properties:
energy of formation	-70	meV/atom
crystal system	tetragonal
D(E_F)	2.74	states/eV per cell

---

16.
Pr3Ho3Hg2: relaxed, PBE-GGA.

Structure (POSCAR):
```
Pr3Ho3Hg2
1.0
2.609 -5.940 0.000
2.609 5.940 0.000
0.000 0.000 16.085
Pr Ho Hg
6 6 4
direct
0.040 0.960 0.608 Pr
0.040 0.960 0.892 Pr
0.287 0.713 0.750 Pr
0.713 0.287 0.250 Pr
0.960 0.040 0.108 Pr
0.960 0.040 0.392 Pr
0.358 0.642 0.535 Ho
0.358 0.642 0.965 Ho
0.427 0.573 0.250 Ho
0.573 0.427 0.750 Ho
0.642 0.358 0.035 Ho
0.642 0.358 0.465 Ho
0.234 0.766 0.124 Hg
0.234 0.766 0.376 Hg
0.766 0.234 0.624 Hg
0.766 0.234 0.876 Hg
```

Computed properties:
energy of formation	-185	meV/atom
crystal system	orthorhombic
D(E_F)	16.50	states/eV per cell

---

17.
AcTlH2O4: relaxed, PBE-GGA.

Structure (POSCAR):
```
AcTlH2O4
1.0
-2.510 2.931 3.334
2.510 -2.931 3.334
2.510 2.931 -3.334
Ac Tl H O
1 1 2 4
direct
0.000 0.000 0.000 Ac
0.500 0.500 0.000 Tl
0.304 0.804 0.500 H
0.696 0.196 0.500 H
0.160 0.984 0.552 O
0.432 0.608 0.448 O
0.568 0.016 0.176 O
0.840 0.392 0.824 O
```

Computed properties:
crystal system	orthorhombic

---

18.
SiGeP2: relaxed, PBE-GGA.

Structure (POSCAR):
```
SiGeP2
1.0
-3.051 3.051 4.317
3.051 -3.051 4.317
3.051 3.051 -4.317
Si Ge P
2 2 4
direct
0.000 0.000 0.000 Si
0.750 0.250 0.500 Si
0.250 0.750 0.500 Ge
0.500 0.500 0.000 Ge
0.086 0.625 0.961 P
0.375 0.336 0.461 P
0.664 0.125 0.039 P
0.875 0.914 0.539 P
```

Computed properties:
formation energy without anion corrections	117	meV/atom
crystal system	tetragonal
D(E_F)	1.59	states/eV per cell

---

19.
Ta2HgOs: relaxed, PBE-GGA.

Structure (POSCAR):
```
Ta2HgOs
1.0
3.006 0.000 0.000
0.000 3.006 0.000
0.000 0.000 7.905
Ta Hg Os
2 1 1
direct
0.000 0.000 0.220 Ta
0.000 0.000 0.780 Ta
0.500 0.500 0.500 Hg
0.500 0.500 0.000 Os
```

Computed properties:
energy of formation	50	meV/atom
crystal system	tetragonal
D(E_F)	3.90	states/eV per cell

---

20.
YHgGeO4: relaxed, PBE-GGA.

Structure (POSCAR):
```
YHgGeO4
1.0
5.864 -3.131 0.000
5.864 3.131 0.000
-1.500 0.000 6.774
Y Hg Ge O
2 2 2 8
direct
0.203 0.203 0.356 Y
0.797 0.797 0.644 Y
0.392 0.392 0.010 Hg
0.608 0.608 0.990 Hg
0.129 0.129 0.763 Ge
0.871 0.871 0.237 Ge
0.018 0.018 0.242 O
0.031 0.606 0.366 O
0.210 0.210 0.017 O
0.394 0.969 0.634 O
0.606 0.031 0.366 O
0.790 0.790 0.983 O
0.969 0.394 0.634 O
0.982 0.982 0.758 O
```

Computed properties:
formation energy without anion corrections	-2023	meV/atom
crystal system	monoclinic
D(E_F)	0.00	states/eV per cell

---

21.
BPPd2Se: relaxed, PBE-GGA.

Structure (POSCAR):
```
BPPd2Se
1.0
4.570 0.000 0.000
0.000 4.570 0.000
0.000 0.000 3.620
B P Pd Se
1 1 2 1
direct
0.000 0.000 0.000 B
0.000 0.000 0.500 P
0.000 0.500 0.000 Pd
0.500 0.000 0.000 Pd
0.500 0.500 0.500 Se
```

Computed properties:
formation energy without anion corrections	344	meV/atom
crystal system	tetragonal
D(E_F)	3.00	states/eV per cell

---

22.
KHS2Cl: relaxed, PBE-GGA.

Structure (POSCAR):
```
KHS2Cl
1.0
3.912 0.000 0.000
0.000 3.912 0.000
0.000 0.000 7.736
K H S Cl
1 1 2 1
direct
0.000 0.000 0.000 K
0.500 0.500 0.500 H
0.000 0.500 0.500 S
0.500 0.000 0.500 S
0.500 0.500 0.000 Cl
```

Computed properties:
crystal system	tetragonal
D(E_F)	3.73	states/eV per cell

---

23.
K2Na7Sn2: relaxed, PBE-GGA.

Structure (POSCAR):
```
K2Na7Sn2
1.0
6.083 -5.280 0.000
6.083 5.280 0.000
-3.154 0.000 6.353
K Na Sn
2 7 2
direct
0.181 0.819 0.000 K
0.819 0.181 0.000 K
0.000 0.000 0.500 Na
0.099 0.537 0.283 Na
0.443 0.443 0.729 Na
0.463 0.901 0.717 Na
0.537 0.099 0.283 Na
0.557 0.557 0.271 Na
0.901 0.463 0.717 Na
0.254 0.254 0.926 Sn
0.746 0.746 0.074 Sn
```

Computed properties:
energy of formation	-70	meV/atom
crystal system	monoclinic
D(E_F)	4.49	states/eV per cell

---

24.
Zr3ScSn: relaxed, PBE-GGA.

Structure (POSCAR):
```
Zr3ScSn
1.0
5.316 0.000 0.000
0.000 5.316 0.000
0.000 0.000 5.316
Zr Sc Sn
3 1 1
direct
0.000 0.000 0.500 Zr
0.000 0.500 0.000 Zr
0.500 0.000 0.000 Zr
0.500 0.500 0.500 Sc
0.000 0.000 0.000 Sn
```

Computed properties:
energy of formation	739	meV/atom
crystal system	cubic
D(E_F)	7.24	states/eV per cell

---

25.
KRb2BiI6: relaxed, PBE-GGA.

Structure (POSCAR):
```
KRb2BiI6
1.0
0.000 6.440 6.440
6.440 0.000 6.440
6.440 6.440 0.000
K Rb Bi I
1 2 1 6
direct
0.000 0.000 0.000 K
0.250 0.250 0.250 Rb
0.750 0.750 0.750 Rb
0.500 0.500 0.500 Bi
0.261 0.261 0.739 I
0.261 0.739 0.261 I
0.261 0.739 0.739 I
0.739 0.261 0.261 I
0.739 0.261 0.739 I
0.739 0.739 0.261 I
```

Computed properties:
formation energy without anion corrections	-1021	meV/atom
crystal system	cubic
D(E_F)	0.00	states/eV per cell

---

| no. | electronic total energy (eV per cell) |
| --- | --- |
| 1 | -23.23 |
| 2 | -18.20 |
| 3 | -48.16 |
| 4 | -35.12 |
| 5 | -91.19 |
| 6 | -14.23 |
| 7 | -22.69 |
| 8 | -66.10 |
| 9 | -32.47 |
| 10 | -63.90 |
| 11 | -31.56 |
| 12 | -26.88 |
| 13 | -63.61 |
| 14 | -16.07 |
| 15 | -6.00 |
| 16 | -60.30 |
| 17 | -45.42 |
| 18 | -40.78 |
| 19 | -35.04 |
| 20 | -90.75 |
| 21 | -24.24 |
| 22 | -14.93 |
| 23 | -20.20 |
| 24 | -32.28 |
| 25 | -26.43 |